[1]
DFT (GGA-PBE) results for GaCu3B after structural relaxation.

Cell and atoms, written as POSCAR:
```
GaCu3B
1.0
-2.1929 3.9050 0.0256
-3.7292 -2.1027 1.3153
1.1589 0.6227 4.2811
Cu Ga B
3 1 1
Direct
0.5000 0.0000 0.0000
0.0000 0.5000 0.0000
0.0000 0.0000 0.5000
0.0000 0.0000 0.0000
0.5000 0.5000 0.5000
```

- Raw total energy: -2.9740 eV/atom
- ΔH_f (0 K): 1.425 eV per atom
- Crystal system: cubic
- Total magnetic moment: 0.0 μB per formula unit

[2]
DFT (GGA-PBE) results for PmScO3 after structural relaxation.

Cell and atoms, written as POSCAR:
```
PmScO3
1.0
3.9430 0.0000 0.0000
0.0000 5.5987 0.0000
0.0000 -2.7994 6.0701
O Sc Pm
6 2 2
Direct
0.5000 0.7343 0.0000
0.0000 0.8438 0.6876
0.5000 0.0000 0.5000
0.5000 0.2657 0.0000
0.0000 0.1562 0.3124
0.5000 0.5000 0.5000
0.5000 0.8812 0.7623
0.5000 0.1188 0.2377
0.0000 0.3430 0.6860
0.0000 0.6570 0.3140
```

- Raw total energy: -8.3738 eV/atom
- Crystal system: orthorhombic
- Total magnetic moment: 0.0 μB per formula unit

[3]
DFT (GGA-PBE) results for TbSm2Er3 after structural relaxation.

Cell and atoms, written as POSCAR:
```
TbSm2Er3
1.0
3.4939 0.0000 0.0000
1.7470 8.8635 0.1446
1.7470 2.1592 12.5894
Sm Er Tb
4 6 2
Direct
0.1803 0.5214 0.1180
0.8197 0.4786 0.8820
0.6566 0.1556 0.5313
0.3434 0.8444 0.4687
0.0390 0.1319 0.7901
0.7377 0.8166 0.7080
0.2623 0.1834 0.2920
0.4015 0.1712 0.0259
0.9610 0.8681 0.2099
0.5985 0.8288 0.9741
0.4373 0.4819 0.6434
0.5627 0.5181 0.3566
```

- Raw total energy: -4.5072 eV/atom
- ΔH_f (0 K): 0.119 eV per atom
- Crystal system: monoclinic
- Total magnetic moment: 0.0 μB per formula unit